The following is a DFT calculation (PBE-GGA) of an optimized crystal structure of Ta2CoMo.

Output
V: 63 Å³/cell
ΔE_f: 37.9 meV/atom
E above lowest polymorph: 18.8 kJ per mole of atoms

```
data_Ta2CoMo
_cell_length_a 2.7705
_cell_length_b 4.3323
_cell_length_c 5.3403
_cell_angle_alpha 90.00
_cell_angle_beta 98.76
_cell_angle_gamma 90.00
_space_group_name_H-M_alt 'P 1 2/m 1'
_space_group_IT_number 10
loop_
_space_group_symop_operation_xyz
'x,y,z'
'-x,-y,-z'
'-x,y,-z'
'x,-y,z'
loop_
_atom_site_label
_atom_site_fract_x
_atom_site_fract_y
_atom_site_fract_z
_atom_site_occupancy
Ta1 0.2468 0.0000 0.2483 1
Co1 0.5000 0.5000 0.0000 1
Mo1 0.0000 0.5000 0.5000 1
```